No. 1
# Re5Ru4 (PBE, optimized geometry)
# - ΔE to the lowest computed polymorph (meV per atom) = 46
# - formation enthalpy at 0 K (meV/atom) = 105
# - Fermi-level density of states (states/eV/f.u.) = 6.49
data_Re5Ru4
_cell_length_a 7.5021
_cell_length_b 7.5021
_cell_length_c 5.4271
_cell_angle_alpha 90.00
_cell_angle_beta 90.00
_cell_angle_gamma 120.00
_space_group_name_H-M_alt 'P 63/m c m'
_space_group_IT_number 193
_space_group_name_Hall '-P 6c 2'
loop_
_atom_site_label
_atom_site_type_symbol
_atom_site_fract_x
_atom_site_fract_y
_atom_site_fract_z
Re1 Re 0.0000 0.3347 0.2500
Re2 Re 0.3333 0.6667 0.0000
Ru1 Ru 0.0000 0.0000 0.0000
Ru2 Ru 0.0000 0.3320 0.7500

---

No. 2
# TbSiPb (PBE, optimized geometry)
# - E_form (uncorrected) (eV/f.u.) = -1.5
# - Fermi-level density of states (states/eV/f.u.) = 1.69
data_TbSiPb
_cell_length_a 4.200
_cell_length_b 18.837
_cell_length_c 3.777
_cell_angle_alpha 90.00
_cell_angle_beta 90.00
_cell_angle_gamma 90.00
_space_group_name_H-M_alt 'C m c m'
_space_group_IT_number 63
_space_group_name_Hall '-C 2c 2'
loop_
_atom_site_label
_atom_site_type_symbol
_atom_site_fract_x
_atom_site_fract_y
_atom_site_fract_z
Tb1 Tb 0.000 0.085 0.250
Si1 Si 0.000 0.461 0.250
Pb1 Pb 0.000 0.304 0.250

---

No. 3
# LuPuZnAg (PBE, optimized geometry)
# - formation enthalpy at 0 K (meV/atom) = -101
# - Fermi-level density of states (states/eV/f.u.) = 9.34
data_LuPuZnAg
_cell_length_a 7.182
_cell_length_b 7.182
_cell_length_c 7.182
_cell_angle_alpha 90.00
_cell_angle_beta 90.00
_cell_angle_gamma 90.00
_space_group_name_H-M_alt 'F -4 3 m'
_space_group_IT_number 216
_space_group_name_Hall 'F -4 2 3'
loop_
_atom_site_label
_atom_site_type_symbol
_atom_site_fract_x
_atom_site_fract_y
_atom_site_fract_z
Lu1 Lu 0.000 0.000 0.000
Pu1 Pu 0.000 0.000 0.500
Zn1 Zn 0.250 0.250 0.250
Ag1 Ag 0.250 0.250 0.750

---

No. 4
# Sc3Tl3CuS8 (PBE, optimized geometry)
# - E_form (uncorrected) (eV/f.u.) = -15.1
# - Fermi-level density of states (states/eV/f.u.) = 5.02
data_Sc3Tl3CuS8
_cell_length_a 7.402
_cell_length_b 7.610
_cell_length_c 8.484
_cell_angle_alpha 63.35
_cell_angle_beta 64.21
_cell_angle_gamma 60.91
_space_group_name_H-M_alt 'P -1'
_space_group_IT_number 2
loop_
_space_group_symop_operation_xyz
'x,y,z'
'-x,-y,-z'
loop_
_atom_site_label
_atom_site_type_symbol
_atom_site_fract_x
_atom_site_fract_y
_atom_site_fract_z
Sc1 Sc 0.000 0.000 0.000
Sc2 Sc 0.000 0.500 0.000
Sc3 Sc 0.500 0.000 0.000
Tl1 Tl 0.000 0.500 0.500
Tl2 Tl 0.500 0.000 0.500
Tl3 Tl 0.500 0.500 0.500
Cu1 Cu 0.500 0.500 0.000
S1 S 0.213 0.844 0.230
S2 S 0.229 0.236 0.805
S3 S 0.257 0.708 0.832
S4 S 0.297 0.292 0.168

---

No. 5
# Ba3YAs (PBE, optimized geometry)
# - ΔE to the lowest computed polymorph (meV per atom) = 810
# - formation enthalpy at 0 K (meV/atom) = 663
# - Fermi-level density of states (states/eV/f.u.) = 7.20
data_Ba3YAs
_cell_length_a 6.225
_cell_length_b 6.225
_cell_length_c 6.225
_cell_angle_alpha 90.00
_cell_angle_beta 90.00
_cell_angle_gamma 90.00
_space_group_name_H-M_alt 'P m -3 m'
_space_group_IT_number 221
_space_group_name_Hall '-P 4 2 3'
loop_
_atom_site_label
_atom_site_type_symbol
_atom_site_fract_x
_atom_site_fract_y
_atom_site_fract_z
Ba1 Ba 0.000 0.000 0.500
Y1 Y 0.000 0.000 0.000
As1 As 0.500 0.500 0.500

---

No. 6
# YTlZnF6 (PBE, optimized geometry)
# - E_form (uncorrected) (eV/f.u.) = -26.8
# - Fermi-level density of states (states/eV/f.u.) = 0.00
data_YTlZnF6
_cell_length_a 7.718
_cell_length_b 8.240
_cell_length_c 11.200
_cell_angle_alpha 90.00
_cell_angle_beta 90.00
_cell_angle_gamma 90.00
_space_group_name_H-M_alt 'I m m a'
_space_group_IT_number 74
_space_group_name_Hall '-I 2b 2'
loop_
_atom_site_label
_atom_site_type_symbol
_atom_site_fract_x
_atom_site_fract_y
_atom_site_fract_z
Y1 Y 0.000 0.000 0.000
Tl1 Tl 0.000 0.250 0.478
Zn1 Zn 0.250 0.250 0.750
F1 F 0.000 0.250 0.074
F2 F 0.000 0.250 0.702
F3 F 0.213 0.077 0.884

---

No. 7
# PaAgIr2O8 (PBE, optimized geometry)
# - E_form (uncorrected) (eV/f.u.) = -11.0
# - Fermi-level density of states (states/eV/f.u.) = 7.66
data_PaAgIr2O8
_cell_length_a 5.8177
_cell_length_b 5.8177
_cell_length_c 6.5388
_cell_angle_alpha 90.00
_cell_angle_beta 90.00
_cell_angle_gamma 120.00
_space_group_name_H-M_alt 'P -3'
_space_group_IT_number 147
loop_
_space_group_symop_operation_xyz
'x,y,z'
'-x,-y,-z'
'-y,x-y,z'
'y,-x+y,-z'
'-x+y,-x,z'
'x-y,x,-z'
loop_
_atom_site_label
_atom_site_type_symbol
_atom_site_fract_x
_atom_site_fract_y
_atom_site_fract_z
Pa1 Pa 0.0000 0.0000 0.0000
Ag1 Ag 0.0000 0.0000 0.5000
Ir1 Ir 0.3333 0.6667 0.9464
O1 O 0.0771 0.3808 0.1323
O2 O 0.3333 0.6667 0.6740

---

No. 8
# SmPu2U3P6 (PBE, optimized geometry)
# - formation enthalpy at 0 K (meV/atom) = -1111
# - Fermi-level density of states (states/eV/f.u.) = 33.24
data_SmPu2U3P6
_cell_length_a 6.872
_cell_length_b 11.911
_cell_length_c 6.927
_cell_angle_alpha 90.00
_cell_angle_beta 109.37
_cell_angle_gamma 90.00
_space_group_name_H-M_alt 'C 1 2/m 1'
_space_group_IT_number 12
loop_
_space_group_symop_operation_xyz
'x,y,z'
'-x,-y,-z'
'-x,y,-z'
'x,-y,z'
'x+1/2,y+1/2,z'
'-x+1/2,-y+1/2,-z'
'-x+1/2,y+1/2,-z'
'x+1/2,-y+1/2,z'
loop_
_atom_site_label
_atom_site_type_symbol
_atom_site_fract_x
_atom_site_fract_y
_atom_site_fract_z
Sm1 Sm 0.000 0.000 0.000
Pu1 Pu 0.000 0.333 0.000
U1 U 0.000 0.165 0.500
U2 U 0.000 0.500 0.500
P1 P 0.244 0.331 0.741
P2 P 0.247 0.500 0.258

---

No. 9
# Nd3PCl7 (PBE, optimized geometry)
# - E_form (uncorrected) (eV/f.u.) = -20.9
data_Nd3PCl7
_cell_length_a 8.5773
_cell_length_b 8.5773
_cell_length_c 6.5049
_cell_angle_alpha 90.00
_cell_angle_beta 90.00
_cell_angle_gamma 120.00
_space_group_name_H-M_alt 'P 3 m 1'
_space_group_IT_number 156
loop_
_space_group_symop_operation_xyz
'x,y,z'
'-y,x-y,z'
'-x+y,-x,z'
'-y,-x,z'
'-x+y,y,z'
'x,x-y,z'
loop_
_atom_site_label
_atom_site_type_symbol
_atom_site_fract_x
_atom_site_fract_y
_atom_site_fract_z
Nd1 Nd 0.0066 0.5033 0.0000
P1 P 0.3333 0.6667 0.2222
Cl1 Cl 0.1841 0.3681 0.7680
Cl2 Cl 0.3602 0.1801 0.2077
Cl3 Cl 0.6667 0.3333 0.7652

---

No. 10
# LiHo2Zn12Cu3 (PBE, optimized geometry)
# - formation enthalpy at 0 K (meV/atom) = -34
# - Fermi-level density of states (states/eV/f.u.) = 6.25
data_LiHo2Zn12Cu3
_cell_length_a 9.1033
_cell_length_b 9.1033
_cell_length_c 12.4104
_cell_angle_alpha 90.00
_cell_angle_beta 90.00
_cell_angle_gamma 120.00
_space_group_name_H-M_alt 'R -3 m'
_space_group_IT_number 166
_space_group_name_Hall '-R 3 2"'
loop_
_atom_site_label
_atom_site_type_symbol
_atom_site_fract_x
_atom_site_fract_y
_atom_site_fract_z
Li1 Li 0.0000 0.0000 0.0000
Ho1 Ho 0.0000 0.0000 0.2508
Zn1 Zn 0.0191 0.5096 0.7059
Zn2 Zn 0.0604 0.5302 0.0977
Cu1 Cu 0.0000 0.5000 0.5000

---

No. 11
# NiAs2 (PBE, optimized geometry)
# - formation enthalpy at 0 K (meV/atom) = -33
# - Fermi-level density of states (states/eV/f.u.) = 0.98
data_NiAs2
_cell_length_a 2.787
_cell_length_b 2.787
_cell_length_c 14.117
_cell_angle_alpha 90.00
_cell_angle_beta 90.00
_cell_angle_gamma 90.00
_space_group_name_H-M_alt 'I 4/m m m'
_space_group_IT_number 139
_space_group_name_Hall '-I 4 2'
loop_
_atom_site_label
_atom_site_type_symbol
_atom_site_fract_x
_atom_site_fract_y
_atom_site_fract_z
Ni1 Ni 0.000 0.000 0.000
As1 As 0.000 0.000 0.383

---

No. 12
# Ce2Dy2Pb7 (PBE, optimized geometry)
# - formation enthalpy at 0 K (meV/atom) = -14
# - Fermi-level density of states (states/eV/f.u.) = 13.55
data_Ce2Dy2Pb7
_cell_length_a 9.188
_cell_length_b 11.027
_cell_length_c 7.272
_cell_angle_alpha 90.00
_cell_angle_beta 90.00
_cell_angle_gamma 90.00
_space_group_name_H-M_alt 'C m m m'
_space_group_IT_number 65
_space_group_name_Hall '-C 2 2'
loop_
_atom_site_label
_atom_site_type_symbol
_atom_site_fract_x
_atom_site_fract_y
_atom_site_fract_z
Ce1 Ce 0.155 0.000 0.000
Dy1 Dy 0.000 0.280 0.500
Pb1 Pb 0.000 0.000 0.500
Pb2 Pb 0.000 0.500 0.206
Pb3 Pb 0.250 0.250 0.216

---

No. 13
# AcLa2Ce3Sb6 (PBE, optimized geometry)
# - E_form (uncorrected) (eV/f.u.) = -13.7
# - Fermi-level density of states (states/eV/f.u.) = 19.58
data_AcLa2Ce3Sb6
_cell_length_a 7.959
_cell_length_b 13.784
_cell_length_c 7.967
_cell_angle_alpha 90.00
_cell_angle_beta 109.46
_cell_angle_gamma 90.00
_space_group_name_H-M_alt 'C 1 2/m 1'
_space_group_IT_number 12
loop_
_space_group_symop_operation_xyz
'x,y,z'
'-x,-y,-z'
'-x,y,-z'
'x,-y,z'
'x+1/2,y+1/2,z'
'-x+1/2,-y+1/2,-z'
'-x+1/2,y+1/2,-z'
'x+1/2,-y+1/2,z'
loop_
_atom_site_label
_atom_site_type_symbol
_atom_site_fract_x
_atom_site_fract_y
_atom_site_fract_z
Ac1 Ac 0.000 0.000 0.000
La1 La 0.000 0.333 0.000
Ce1 Ce 0.000 0.165 0.500
Ce2 Ce 0.000 0.500 0.500
Sb1 Sb 0.243 0.331 0.738
Sb2 Sb 0.247 0.500 0.260

---

No. 14
# Pu4GeRh2 (PBE, optimized geometry)
# - formation enthalpy at 0 K (meV/atom) = -297
# - Fermi-level density of states (states/eV/f.u.) = 22.59
data_Pu4GeRh2
_cell_length_a 4.8833
_cell_length_b 4.8833
_cell_length_c 20.3372
_cell_angle_alpha 90.00
_cell_angle_beta 90.00
_cell_angle_gamma 120.00
_space_group_name_H-M_alt 'R -3 m'
_space_group_IT_number 166
_space_group_name_Hall '-R 3 2"'
loop_
_atom_site_label
_atom_site_type_symbol
_atom_site_fract_x
_atom_site_fract_y
_atom_site_fract_z
Pu1 Pu 0.0000 0.0000 0.0718
Pu2 Pu 0.0000 0.0000 0.2284
Ge1 Ge 0.0000 0.0000 0.5000
Rh1 Rh 0.0000 0.0000 0.3641

---

No. 15
# AlH6C2SeCl3 (PBE, optimized geometry)
# - E_tot (eV/atom) = -4.548
# - Fermi-level density of states (states/eV/f.u.) = 0.00
data_AlH6C2SeCl3
_cell_length_a 6.548
_cell_length_b 13.155
_cell_length_c 11.171
_cell_angle_alpha 90.00
_cell_angle_beta 90.00
_cell_angle_gamma 90.00
_space_group_name_H-M_alt 'P b c m'
_space_group_IT_number 57
loop_
_space_group_symop_operation_xyz
'x,y,z'
'-x,-y,-z'
'-x,-y,z+1/2'
'x,y,-z+1/2'
'x,-y+1/2,-z'
'-x,y+1/2,z'
'-x,y+1/2,-z+1/2'
'x,-y+1/2,z+1/2'
loop_
_atom_site_label
_atom_site_type_symbol
_atom_site_fract_x
_atom_site_fract_y
_atom_site_fract_z
Al1 Al 0.063 0.064 0.250
H1 H 0.248 0.626 0.535
H2 H 0.401 0.712 0.623
H3 H 0.452 0.577 0.626
C1 C 0.335 0.636 0.617
Se1 Se 0.139 0.625 0.750
Cl1 Cl 0.190 0.124 0.089
Cl2 Cl 0.264 0.570 0.250

---

No. 16
# Th6HgGe3Se2 (PBE, optimized geometry)
# - E_form (uncorrected) (eV/f.u.) = -11.4
# - Fermi-level density of states (states/eV/f.u.) = 9.06
data_Th6HgGe3Se2
_cell_length_a 18.745
_cell_length_b 4.283
_cell_length_c 8.663
_cell_angle_alpha 90.00
_cell_angle_beta 103.13
_cell_angle_gamma 90.00
_space_group_name_H-M_alt 'C 1 2/m 1'
_space_group_IT_number 12
loop_
_space_group_symop_operation_xyz
'x,y,z'
'-x,-y,-z'
'-x,y,-z'
'x,-y,z'
'x+1/2,y+1/2,z'
'-x+1/2,-y+1/2,-z'
'-x+1/2,y+1/2,-z'
'x+1/2,-y+1/2,z'
loop_
_atom_site_label
_atom_site_type_symbol
_atom_site_fract_x
_atom_site_fract_y
_atom_site_fract_z
Th1 Th 0.001 0.000 0.237
Th2 Th 0.164 0.500 0.089
Th3 Th 0.172 0.500 0.579
Hg1 Hg 0.000 0.500 0.500
Ge1 Ge 0.000 0.500 0.000
Ge2 Ge 0.166 0.000 0.332
Se1 Se 0.167 0.000 0.834

---

No. 17
# TmMg2Sn2 (PBE, optimized geometry)
# - ΔE to the lowest computed polymorph (meV per atom) = 0
# - formation enthalpy at 0 K (meV/atom) = -350
# - Fermi-level density of states (states/eV/f.u.) = 1.97
data_TmMg2Sn2
_cell_length_a 4.399
_cell_length_b 24.780
_cell_length_c 4.429
_cell_angle_alpha 90.00
_cell_angle_beta 90.00
_cell_angle_gamma 90.00
_space_group_name_H-M_alt 'C m c m'
_space_group_IT_number 63
_space_group_name_Hall '-C 2c 2'
loop_
_atom_site_label
_atom_site_type_symbol
_atom_site_fract_x
_atom_site_fract_y
_atom_site_fract_z
Tm1 Tm 0.000 0.152 0.250
Mg1 Mg 0.000 0.046 0.750
Mg2 Mg 0.000 0.453 0.750
Sn1 Sn 0.000 0.249 0.750
Sn2 Sn 0.000 0.371 0.250

---

No. 18
# Ta3TlS (PBE, optimized geometry)
# - E_form (uncorrected) (eV/f.u.) = 2.2
# - ΔE to the lowest computed polymorph (meV per atom) = 0
# - Fermi-level density of states (states/eV/f.u.) = 3.64
data_Ta3TlS
_cell_length_a 4.607
_cell_length_b 4.607
_cell_length_c 4.607
_cell_angle_alpha 90.00
_cell_angle_beta 90.00
_cell_angle_gamma 90.00
_space_group_name_H-M_alt 'P m -3 m'
_space_group_IT_number 221
_space_group_name_Hall '-P 4 2 3'
loop_
_atom_site_label
_atom_site_type_symbol
_atom_site_fract_x
_atom_site_fract_y
_atom_site_fract_z
Ta1 Ta 0.000 0.000 0.500
Tl1 Tl 0.500 0.500 0.500
S1 S 0.000 0.000 0.000

---

No. 19
# Ca3Ac3In4 (PBE, optimized geometry)
# - formation enthalpy at 0 K (meV/atom) = -372
# - Fermi-level density of states (states/eV/f.u.) = 14.57
data_Ca3Ac3In4
_cell_length_a 4.842
_cell_length_b 12.207
_cell_length_c 12.061
_cell_angle_alpha 90.00
_cell_angle_beta 90.00
_cell_angle_gamma 90.00
_space_group_name_H-M_alt 'A m m 2'
_space_group_IT_number 38
loop_
_space_group_symop_operation_xyz
'x,y,z'
'-x,-y,z'
'-x,y,z'
'x,-y,z'
'x,y+1/2,z+1/2'
'-x,-y+1/2,z+1/2'
'-x,y+1/2,z+1/2'
'x,-y+1/2,z+1/2'
loop_
_atom_site_label
_atom_site_type_symbol
_atom_site_fract_x
_atom_site_fract_y
_atom_site_fract_z
Ca1 Ca 0.000 0.000 0.000
Ca2 Ca 0.500 0.250 0.078
Ac1 Ac 0.000 0.000 0.661
Ac2 Ac 0.000 0.170 0.325
In1 In 0.500 0.000 0.197
In2 In 0.500 0.000 0.455
In3 In 0.500 0.123 0.834

---

No. 20
# CsHf2Co2 (PBE, optimized geometry)
# - ΔE to the lowest computed polymorph (meV per atom) = 0
# - formation enthalpy at 0 K (meV/atom) = 465
# - Fermi-level density of states (states/eV/f.u.) = 3.55
data_CsHf2Co2
_cell_length_a 8.205
_cell_length_b 8.205
_cell_length_c 3.102
_cell_angle_alpha 90.00
_cell_angle_beta 90.00
_cell_angle_gamma 90.00
_space_group_name_H-M_alt 'P 4/m b m'
_space_group_IT_number 127
_space_group_name_Hall '-P 4 2ab'
loop_
_atom_site_label
_atom_site_type_symbol
_atom_site_fract_x
_atom_site_fract_y
_atom_site_fract_z
Cs1 Cs 0.000 0.000 0.000
Hf1 Hf 0.132 0.368 0.000
Co1 Co 0.123 0.623 0.500